## Li2TaFe (PBE)

Data for a relaxed structure of Li2TaFe. Values from VASP.

Summary:
Electronic total energy   -21.03 eV/f.u.
Total magnetization   0.0 μB per cell
Offset from the most stable computed form   719 meV per atom
Density of states at the Fermi level   0.910 states/eV/atom
ρ   8.26 g/cm3

Geometry as Quantum ESPRESSO input:
```
&SYSTEM
  ibrav = 0, nat = 16, ntyp = 3
/
ATOMIC_SPECIES
Li 6.94 Li.upf
Ta 180.95 Ta.upf
Fe 55.84 Fe.upf
ATOMIC_POSITIONS crystal
Li 0.250 0.250 0.250
Li 0.250 0.250 0.750
Li 0.250 0.750 0.250
Li 0.250 0.750 0.750
Li 0.750 0.250 0.250
Li 0.750 0.250 0.750
Li 0.750 0.750 0.250
Li 0.750 0.750 0.750
Ta 0.000 0.000 0.000
Ta 0.000 0.500 0.500
Ta 0.500 0.000 0.500
Ta 0.500 0.500 0.000
Fe 0.000 0.000 0.500
Fe 0.000 0.500 0.000
Fe 0.500 0.000 0.000
Fe 0.500 0.500 0.500
CELL_PARAMETERS angstrom
5.863 0.000 0.000
0.000 5.863 0.000
0.000 0.000 5.863
```